Record 1
ZnTeSe after structural relaxation. Source: Alexandria via LeMat-Bulk, functional PBE.

## Properties
**Formation energy without anion corrections**: -0.315 eV/atom
**Magnetic moment**: 0.000 μB/f.u.

Unit cell a=6.314 b=4.013 c=7.561 alpha=90.00 beta=111.95 gamma=90.00
Atoms (fractional coordinates):
Zn  0.000  0.000  0.000
Zn  0.473  0.500  0.897
Te  0.183  0.000  0.396
Te  0.536  0.500  0.552
Se  0.056  0.500  0.837
Se  0.652  0.000  0.079


Record 2
NdY6Er3Tm2 after structural relaxation. Source: Alexandria via LeMat-Bulk, functional PBE.

## Properties
**Magnetic moment**: 0.000 μB/f.u.
**ΔE_f**: 25 meV per atom

Unit cell a=6.145 b=6.145 c=11.778 alpha=94.97 beta=94.97 gamma=119.94
Atoms (fractional coordinates):
Nd  0.000  0.000  0.000
Y  0.084  0.418  0.251
Y  0.250  0.250  0.749
Y  0.418  0.084  0.251
Y  0.582  0.916  0.749
Y  0.750  0.750  0.251
Y  0.916  0.582  0.749
Er  0.167  0.833  0.500
Er  0.500  0.500  0.500
Er  0.833  0.167  0.500
Tm  0.333  0.667  0.000
Tm  0.667  0.333  0.000


Record 3
Pm2ZrTe4 after structural relaxation. Source: Alexandria via LeMat-Bulk, functional PBE.

## Properties
**Formation energy without anion corrections**: -1.211 eV/atom
**Magnetic moment**: 0.000 μB/f.u.

Unit cell a=8.207 b=8.207 c=7.680 alpha=117.37 beta=117.37 gamma=30.65
Atoms (fractional coordinates):
Pm  0.248  0.248  0.260
Pm  0.752  0.752  0.740
Zr  0.500  0.500  0.500
Te  0.116  0.116  0.782
Te  0.389  0.389  0.715
Te  0.611  0.611  0.285
Te  0.884  0.884  0.218


Record 4
Sm2Y6HoTh3 after structural relaxation. Source: Alexandria via LeMat-Bulk, functional PBE.

## Properties
**Magnetic moment**: 0.000 μB/f.u.
**ΔE_f**: 22 meV per atom

Unit cell a=6.215 b=6.215 c=11.780 alpha=95.06 beta=95.06 gamma=120.00
Atoms (fractional coordinates):
Sm  0.166  0.834  0.000
Sm  0.834  0.166  0.000
Y  0.082  0.415  0.745
Y  0.252  0.252  0.255
Y  0.415  0.082  0.745
Y  0.585  0.918  0.255
Y  0.748  0.748  0.745
Y  0.918  0.585  0.255
Ho  0.500  0.500  0.000
Th  0.000  0.000  0.500
Th  0.333  0.667  0.500
Th  0.667  0.333  0.500